Density functional theory data (PBE) for a relaxed CrCo23Ni6 crystal.

Values from the calculation:
Fermi-level density of states: 37.76 states/eV/f.u.
Space group: No. 225
Final energy: -6.729 eV/atom

```
CrCo23Ni6
1.0
6.8318 0.0000 3.9443
2.2773 6.4411 3.9443
0.0000 0.0000 7.8887
Cr Co Ni
1 23 6
Cartesian
4.5545 3.2205 7.8887
4.6335 0.7772 3.9443
4.4755 5.6639 11.8330
1.0991 0.7772 5.9849
1.0991 0.7772 1.9038
8.0099 5.6639 9.7924
8.0099 5.6639 13.8736
2.2773 4.1095 3.9443
6.8318 2.3316 11.8330
4.5545 3.2205 3.9443
0.0000 0.0000 3.9443
3.4159 0.0000 1.9722
1.1386 3.2205 5.9165
3.4159 0.0000 5.9165
1.1386 3.2205 1.9722
7.5375 2.1659 7.8887
1.5715 4.2752 7.8887
3.0630 2.1659 10.4720
3.0630 2.1659 5.3053
6.0460 4.2752 5.3053
6.0460 4.2752 10.4720
4.5545 6.3845 7.8887
4.5545 0.0566 7.8887
0.0000 0.0000 0.0000
6.6521 4.7037 7.8887
2.4570 1.7373 7.8887
5.6033 1.7373 6.0721
3.5057 4.7037 9.7052
5.6033 1.7373 9.7052
3.5057 4.7037 6.0721
```

Density functional theory data (PBE) for a relaxed GaPRuAu2S crystal.

Values from the calculation:
Fermi-level density of states: 1.70 states/eV/f.u.
Offset from the most stable computed form: 0.031 eV per atom
Space group: No. 8
Energy relative to the elements, uncorrected: -0.116 eV per atom

```
GaPRuAu2S
1.0
5.9098 0.0000 -0.0004
0.0000 3.3859 0.0000
-4.3622 0.0000 11.0728
Ga P Ru Au S
2 2 2 4 2
Cartesian
3.5979 0.0000 4.8105
1.4168 1.6929 10.3469
1.4528 0.0000 1.3963
-0.7282 1.6929 6.9327
-2.1585 0.0000 7.2701
0.0226 1.6929 1.7337
3.7359 0.0000 0.5304
1.5548 1.6929 6.0668
1.1226 0.0000 3.8343
-1.0585 1.6929 9.3707
2.0083 0.0000 8.8670
4.1894 1.6929 3.3306
```

Density functional theory data (PBE) for a relaxed SbCl3F6 crystal.

Values from the calculation:
Space group: No. 12
Energy relative to the elements, uncorrected: -1.370 eV per atom

```
SbCl3F6
1.0
6.6505 0.0000 0.0000
-3.3252 5.4582 -0.6031
0.0000 0.1978 5.6069
Sb Cl F
1 3 6
Cartesian
3.3252 0.0989 2.8035
3.3252 3.6162 0.4362
0.0000 2.0398 4.5676
0.0000 0.0000 0.0000
4.6928 1.1585 1.9564
1.3675 4.4975 3.0474
-1.3675 4.4975 3.0474
1.9577 1.1585 1.9564
0.0000 4.3546 0.7050
3.3252 1.3014 4.2988
```